#one
# LiMg2Ag (SCAN, PBEsol geometry)
data_LiMg2Ag
_cell_length_a 4.0458
_cell_length_b 4.0458
_cell_length_c 8.8328
_cell_angle_alpha 90.00
_cell_angle_beta 90.00
_cell_angle_gamma 90.00
_symmetry_space_group_name_H-M 'I -4 m 2'
_symmetry_Int_Tables_number 119
_symmetry_space_group_name_Hall 'I -4 -2'
loop_
_atom_site_label
_atom_site_type_symbol
_atom_site_fract_x
_atom_site_fract_y
_atom_site_fract_z
Li1 Li 0.0000 0.0000 0.0000
Mg1 Mg 0.0000 0.0000 0.5000
Mg2 Mg 0.0000 0.5000 0.2500
Ag1 Ag 0.0000 0.5000 0.7500
# V   18.073 Å³ per atom
# ρ   3.75 g/cm³

#two
# LiMg2Ag (SCAN, PBEsol geometry)
data_LiMg2Ag
_cell_length_a 6.6121
_cell_length_b 6.6121
_cell_length_c 6.6121
_cell_angle_alpha 90.00
_cell_angle_beta 90.00
_cell_angle_gamma 90.00
_symmetry_space_group_name_H-M 'F -4 3 m'
_symmetry_Int_Tables_number 216
_symmetry_space_group_name_Hall 'F -4 2 3'
loop_
_atom_site_label
_atom_site_type_symbol
_atom_site_fract_x
_atom_site_fract_y
_atom_site_fract_z
Li1 Li 0.0000 0.0000 0.0000
Mg1 Mg 0.0000 0.0000 0.5000
Mg2 Mg 0.2500 0.2500 0.7500
Ag1 Ag 0.2500 0.2500 0.2500
# V   18.068 Å³ per atom
# ρ   3.75 g/cm³

Relative to the most stable one, in kJ/mol of atoms, the structures come out at #one 0.0; #two 2.2.

#one
# LiMg2Ag (SCAN, PBEsol geometry)
data_LiMg2Ag
_cell_length_a 10.3530
_cell_length_b 3.3595
_cell_length_c 4.6144
_cell_angle_alpha 90.00
_cell_angle_beta 115.14
_cell_angle_gamma 90.00
_symmetry_space_group_name_H-M 'C 1 m 1'
_symmetry_Int_Tables_number 8
loop_
_symmetry_equiv_pos_as_xyz
'x,y,z'
'x,-y,z'
'x+1/2,y+1/2,z'
'x+1/2,-y+1/2,z'
loop_
_atom_site_label
_atom_site_type_symbol
_atom_site_fract_x
_atom_site_fract_y
_atom_site_fract_z
Li1 Li 0.0000 0.0000 0.0000
Mg1 Mg 0.2375 0.0000 0.7438
Mg2 Mg 0.4671 0.0000 0.4657
Ag1 Ag 0.2246 0.5000 0.2310
# V   18.161 Å³ per atom
# ρ   3.74 g/cm³

#two
# LiMg2Ag (SCAN, PBEsol geometry)
data_LiMg2Ag
_cell_length_a 2.9499
_cell_length_b 4.5993
_cell_length_c 5.5683
_cell_angle_alpha 90.00
_cell_angle_beta 102.95
_cell_angle_gamma 90.00
_symmetry_space_group_name_H-M 'P 1 m 1'
_symmetry_Int_Tables_number 6
loop_
_symmetry_equiv_pos_as_xyz
'x,y,z'
'x,-y,z'
loop_
_atom_site_label
_atom_site_type_symbol
_atom_site_fract_x
_atom_site_fract_y
_atom_site_fract_z
Li1 Li 0.0000 0.0000 0.0000
Mg1 Mg 0.3550 0.0000 0.5341
Mg2 Mg 0.6544 0.5000 0.2154
Ag1 Ag 0.9905 0.5000 0.7447
# V   18.407 Å³ per atom
# ρ   3.69 g/cm³

#three
# LiMg2Ag (SCAN, PBEsol geometry)
data_LiMg2Ag
_cell_length_a 3.3203
_cell_length_b 3.3203
_cell_length_c 6.6219
_cell_angle_alpha 90.00
_cell_angle_beta 90.00
_cell_angle_gamma 90.00
_symmetry_space_group_name_H-M 'P 4 m m'
_symmetry_Int_Tables_number 99
loop_
_symmetry_equiv_pos_as_xyz
'x,y,z'
'-y,x,z'
'-x,-y,z'
'y,-x,z'
'-x,y,z'
'y,x,z'
'x,-y,z'
'-y,-x,z'
loop_
_atom_site_label
_atom_site_type_symbol
_atom_site_fract_x
_atom_site_fract_y
_atom_site_fract_z
Li1 Li 0.0000 0.0000 0.0000
Mg1 Mg 0.0000 0.0000 0.5625
Mg2 Mg 0.5000 0.5000 0.2526
Ag1 Ag 0.5000 0.5000 0.8000
# V   18.250 Å³ per atom
# ρ   3.72 g/cm³

Relative to the most stable one, in kJ/mol of atoms, the structures come out at #one 0.0; #two 4.3; #three 2.8.

#one
# LiMgAg (SCAN, PBEsol geometry)
data_LiMgAg
_cell_length_a 3.0811
_cell_length_b 3.6850
_cell_length_c 9.0443
_cell_angle_alpha 90.00
_cell_angle_beta 90.00
_cell_angle_gamma 90.00
_symmetry_space_group_name_H-M 'I m m 2'
_symmetry_Int_Tables_number 44
loop_
_symmetry_equiv_pos_as_xyz
'x,y,z'
'-x,-y,z'
'-x,y,z'
'x,-y,z'
'x+1/2,y+1/2,z+1/2'
'-x+1/2,-y+1/2,z+1/2'
'-x+1/2,y+1/2,z+1/2'
'x+1/2,-y+1/2,z+1/2'
loop_
_atom_site_label
_atom_site_type_symbol
_atom_site_fract_x
_atom_site_fract_y
_atom_site_fract_z
Li1 Li 0.0000 0.0000 0.0000
Mg1 Mg 0.0000 0.0000 0.6831
Ag1 Ag 0.0000 0.0000 0.3519
# V   17.115 Å³ per atom
# ρ   4.50 g/cm³

#two
# LiMgAg (SCAN, PBEsol geometry)
data_LiMgAg
_cell_length_a 4.5222
_cell_length_b 4.5222
_cell_length_c 2.8954
_cell_angle_alpha 90.00
_cell_angle_beta 90.00
_cell_angle_gamma 120.00
_symmetry_space_group_name_H-M 'P 3 m 1'
_symmetry_Int_Tables_number 156
loop_
_symmetry_equiv_pos_as_xyz
'x,y,z'
'-y,x-y,z'
'-x+y,-x,z'
'-y,-x,z'
'-x+y,y,z'
'x,x-y,z'
loop_
_atom_site_label
_atom_site_type_symbol
_atom_site_fract_x
_atom_site_fract_y
_atom_site_fract_z
Li1 Li 0.0000 0.0000 0.0000
Mg1 Mg 0.6667 0.3333 0.3546
Ag1 Ag 0.3333 0.6667 0.7607
# V   17.093 Å³ per atom
# ρ   4.50 g/cm³

Relative to the most stable one, in kJ/mol of atoms, the structures come out at #one 0.0; #two 1.2.